No. 1
A plane-wave DFT calculation with PBE was carried out for a geometry-optimized HgGeTeRh2 structure.

Cell: 4.879 5.436 4.879 Å, 90.00 90.00 90.00°
Atoms (fractional coordinates):
Ge (0.500, 0.500, 0.500)
Rh (0.000, 0.000, 0.500)
Rh (0.500, 0.000, 0.000)
Te (0.000, 0.000, 0.000)
Hg (0.000, 0.500, 0.000)

SG: P4/mmm
Formation energy (no corrections), eV/atom: 0.8800

No. 2
A plane-wave DFT calculation with PBE was carried out for a geometry-optimized SrErGa4 structure.

Cell: 4.268 4.268 8.152 Å, 105.17 105.17 90.00°
Atoms (fractional coordinates):
Ga (0.836, 0.336, 0.672)
Ga (0.580, 0.580, 0.160)
Ga (0.664, 0.164, 0.328)
Ga (0.420, 0.420, 0.840)
Sr (0.250, 0.750, 0.500)
Er (0.000, 0.000, 0.000)

Distance to the lowest polymorph of the same formula, meV/atom: 0
SG: I-4m2
Calculated formation energy, meV/atom: -497

No. 3
A plane-wave DFT calculation with PBE was carried out for a geometry-optimized NdZn2Hg structure.

Cell: 3.783 4.615 10.356 Å, 90.00 100.52 90.00°
Atoms (fractional coordinates):
Zn (0.237, 0.750, 0.475)
Zn (0.973, 0.750, 0.945)
Zn (0.027, 0.250, 0.055)
Zn (0.763, 0.250, 0.525)
Nd (0.402, 0.250, 0.804)
Nd (0.598, 0.750, 0.196)
Hg (0.838, 0.750, 0.676)
Hg (0.162, 0.250, 0.324)

Distance to the lowest polymorph of the same formula, meV/atom: 0
SG: Cmcm
Calculated formation energy, meV/atom: -293

No. 4
A plane-wave DFT calculation with PBE was carried out for a geometry-optimized LiCa2W structure.

Cell: 3.059 5.617 5.617 Å, 90.00 90.00 90.00°
Atoms (fractional coordinates):
W (0.500, 0.000, 0.500)
Ca (0.000, 0.000, 0.000)
Ca (0.000, 0.500, 0.500)
Li (0.500, 0.500, 0.000)

Distance to the lowest polymorph of the same formula, meV/atom: 143
SG: P4/mmm
Calculated formation energy, meV/atom: 798

No. 5
A plane-wave DFT calculation with PBE was carried out for a geometry-optimized Zr2BeGaSb structure.

Cell: 4.897 4.088 4.897 Å, 90.00 90.00 90.00°
Atoms (fractional coordinates):
Ga (0.000, 0.500, 0.000)
Be (0.000, 0.000, 0.000)
Zr (0.500, 0.000, 0.000)
Zr (0.000, 0.000, 0.500)
Sb (0.500, 0.500, 0.500)

SG: P4/mmm
Formation energy (no corrections), eV/atom: -0.1284

No. 6
A plane-wave DFT calculation with PBE was carried out for a geometry-optimized YTmPSe structure.

Cell: 3.945 3.945 7.280 Å, 90.00 105.71 120.00°
Atoms (fractional coordinates):
Tm (0.117, 0.957, 0.089)
Y (0.488, 0.142, 0.644)
P (0.309, 0.552, 0.877)
Se (0.964, 0.380, 0.359)

SG: R3m
Formation energy (no corrections), eV/atom: -1.7122